Here is a relaxed structure of Ni2Pd3O8 from the Alexandria database. Energies are from PBE+U.

Cell: 9.5585 6.0143 5.2367 Å, 90.00 98.20 90.00°
Space group C2/m (No. 12)
One atom of each set of equivalent atoms:
Ni: 0.2046 0.0000 0.0631
Pd: 0.0000 0.2475 0.5000
Pd: 0.0000 0.5000 0.0000
O: 0.1089 0.5000 0.3585
O: 0.1141 0.0000 0.3795
O: 0.1249 0.2690 0.8538

Computed properties:
E in eV/atom: -5.19
Theoretical density in g cm⁻³: 6.3